Record 1
# Ac5Pr2Sm3 GGA-PBE relaxed
data_Ac5Pr2Sm3
_space_group_name_H-M_alt 'C 1 2/c 1'
_space_group_IT_number 15
_cell_length_a 11.770
_cell_length_b 18.094
_cell_length_c 9.621
_cell_angle_alpha 90.00
_cell_angle_beta 127.64
_cell_angle_gamma 90.00
loop_
_space_group_symop_operation_xyz
'x,y,z'
'-x,-y,-z'
'-x,y,-z+1/2'
'x,-y,z+1/2'
'x+1/2,y+1/2,z'
'-x+1/2,-y+1/2,-z'
'-x+1/2,y+1/2,-z+1/2'
'x+1/2,-y+1/2,z+1/2'
loop_
_atom_site_label
_atom_site_fract_x
_atom_site_fract_y
_atom_site_fract_z
_atom_site_occupancy
Ac1 0.000 0.019 0.250 1
Ac2 0.000 0.216 0.250 1
Ac3 0.000 0.474 0.750 1
Ac4 0.250 0.139 0.750 1
Pr1 0.151 0.137 0.046 1
Sm1 0.000 0.283 0.750 1
Sm2 0.142 0.369 0.541 1
# - Electronic total energy: -4.26 eV/atom
# - Formation energy: 168 meV/atom

***

Record 2
# BaNaCl GGA-PBE relaxed
data_BaNaCl
_space_group_name_H-M_alt 'R -3 m'
_space_group_IT_number 166
_space_group_name_Hall '-R 3 2"'
_cell_length_a 5.4534
_cell_length_b 5.4534
_cell_length_c 28.4039
_cell_angle_alpha 90.00
_cell_angle_beta 90.00
_cell_angle_gamma 120.00
loop_
_atom_site_label
_atom_site_fract_x
_atom_site_fract_y
_atom_site_fract_z
_atom_site_occupancy
Ba1 0.0000 0.0000 0.0947 1
Na1 0.0000 0.0000 0.3300 1
Cl1 0.0000 0.0000 0.2072 1
# - Distance to the lowest polymorph of the same formula: 0 meV per atom
# - Electronic total energy: -2.85 eV/atom
# - Formation energy from raw total energies: -1.16 eV per atom

***

Record 3
# Pr4Dy2YEr2 GGA-PBE relaxed
data_Pr4Dy2YEr2
_space_group_name_H-M_alt 'C 1 2/m 1'
_space_group_IT_number 12
_cell_length_a 15.367
_cell_length_b 5.112
_cell_length_c 8.078
_cell_angle_alpha 90.00
_cell_angle_beta 108.45
_cell_angle_gamma 90.00
loop_
_space_group_symop_operation_xyz
'x,y,z'
'-x,-y,-z'
'-x,y,-z'
'x,-y,z'
'x+1/2,y+1/2,z'
'-x+1/2,-y+1/2,-z'
'-x+1/2,y+1/2,-z'
'x+1/2,-y+1/2,z'
loop_
_atom_site_label
_atom_site_fract_x
_atom_site_fract_y
_atom_site_fract_z
_atom_site_occupancy
Pr1 0.054 0.000 0.331 1
Pr2 0.223 0.500 0.331 1
Dy1 0.112 0.500 0.670 1
Y1 0.000 0.500 0.000 1
Er1 0.168 0.000 0.999 1
# - Electronic total energy: -4.86 eV/atom
# - Formation energy: 23 meV/atom

***

Record 4
# V2Ga2P GGA-PBE relaxed
data_V2Ga2P
_space_group_name_H-M_alt 'P 4/m b m'
_space_group_IT_number 127
_space_group_name_Hall '-P 4 2ab'
_cell_length_a 6.056
_cell_length_b 6.056
_cell_length_c 4.062
_cell_angle_alpha 90.00
_cell_angle_beta 90.00
_cell_angle_gamma 90.00
loop_
_atom_site_label
_atom_site_fract_x
_atom_site_fract_y
_atom_site_fract_z
_atom_site_occupancy
V1 0.152 0.348 0.000 1
Ga1 0.155 0.655 0.500 1
P1 0.000 0.000 0.000 1
# - Electronic total energy: -6.23 eV/atom
# - Formation energy: -292 meV/atom

***

Record 5
# Cs2LaFeCl6 GGA-PBE relaxed
data_Cs2LaFeCl6
_space_group_name_H-M_alt 'F m -3 m'
_space_group_IT_number 225
_space_group_name_Hall '-F 4 2 3'
_cell_length_a 10.681
_cell_length_b 10.681
_cell_length_c 10.681
_cell_angle_alpha 90.00
_cell_angle_beta 90.00
_cell_angle_gamma 90.00
loop_
_atom_site_label
_atom_site_fract_x
_atom_site_fract_y
_atom_site_fract_z
_atom_site_occupancy
Cs1 0.250 0.250 0.250 1
La1 0.000 0.000 0.000 1
Fe1 0.000 0.000 0.500 1
Cl1 0.000 0.000 0.262 1
# - Electronic total energy: -4.33 eV/atom
# - Formation energy from raw total energies: -1.71 eV per atom

***

Record 6
# Pr8Nd3Ho GGA-PBE relaxed
data_Pr8Nd3Ho
_space_group_name_H-M_alt 'I -4 2 m'
_space_group_IT_number 121
_space_group_name_Hall 'I -4 2'
_cell_length_a 8.921
_cell_length_b 8.921
_cell_length_c 11.737
_cell_angle_alpha 90.00
_cell_angle_beta 90.00
_cell_angle_gamma 90.00
loop_
_atom_site_label
_atom_site_fract_x
_atom_site_fract_y
_atom_site_fract_z
_atom_site_occupancy
Pr1 0.124 0.124 0.248 1
Pr2 0.247 0.247 0.993 1
Nd1 0.000 0.000 0.500 1
Nd2 0.000 0.500 0.250 1
Ho1 0.000 0.000 0.000 1
# - Electronic total energy: -4.23 eV/atom
# - Formation energy: 534 meV/atom

***

| no. | calculated volume (Å³ per atom) | DOS at the Fermi energy (states/eV/f.u.) |
| --- | --- | --- |
| 1 | 40.56 | 18.851 |
| 2 | 40.64 | 1.402 |
| 3 | 33.45 | 14.042 |
| 4 | 14.90 | 3.938 |
| 5 | 30.46 | 12.614 |
| 6 | 38.92 | 18.894 |